No. 1
{
  "formula": "KVCu2",
  "functional": "GGA-PBE",
  "state": "relaxed",
  "formation_energy_ev_per_atom": 0.99,
  "magnetic_moment_mub_per_cell": 3.53,
  "lattice": [[0.0000, 3.4126, 3.4126], [3.4126, 0.0000, 3.4126], [3.4126, 3.4126, 0.0000]],
  "species": ["K", "V", "Cu", "Cu"],
  "fractional_positions": [[0.0000, 0.0000, 0.0000], [0.5000, 0.5000, 0.5000], [0.2500, 0.2500, 0.2500], [0.7500, 0.7500, 0.7500]]
}

---

No. 2
{
  "formula": "SrZr2Au",
  "functional": "GGA-PBE",
  "state": "relaxed",
  "formation_energy_ev_per_atom": 0.32,
  "magnetic_moment_mub_per_cell": 0.00,
  "lattice": [[0.0000, 3.5895, 3.5895], [3.5895, 0.0000, 3.5895], [3.5895, 3.5895, 0.0000]],
  "species": ["Sr", "Zr", "Zr", "Au"],
  "fractional_positions": [[0.0000, 0.0000, 0.0000], [0.2500, 0.2500, 0.2500], [0.7500, 0.7500, 0.7500], [0.5000, 0.5000, 0.5000]]
}